Entry 1:
CaSc2TcN4 after structural relaxation, computed with PBE.

abc: 3.222 11.342 11.490
angles: 90.00 90.00 90.00
Space group Cmcm (No. 63)
One atom of each set of equivalent atoms:
1 Ca 0.000 0.082 0.250 (multiplicity 4)
2 Sc 0.000 0.373 0.039 (multiplicity 8)
3 Tc 0.000 0.179 0.750 (multiplicity 4)
4 N 0.000 0.000 0.000 (multiplicity 4)
5 N 0.000 0.261 0.609 (multiplicity 8)
6 N 0.000 0.429 0.250 (multiplicity 4)

The calculation puts the uncorrected formation energy at -1.06 eV/atom. For the volume, the calculation gives 104.96 Å³/f.u. Its total energy is -267.27 eV per cell.


Entry 2:
La2Er3Pb4 after structural relaxation, computed with PBE.

abc: 8.490 8.460 8.272
angles: 90.00 111.32 90.00
Space group P2_1/c (No. 14)
One atom of each set of equivalent atoms:
1 La 0.192 0.179 0.058 (multiplicity 4)
2 Er 0.247 0.658 0.241 (multiplicity 4)
3 Er 0.500 0.000 0.500 (multiplicity 2)
4 Pb 0.087 0.544 0.837 (multiplicity 4)
5 Pb 0.495 0.140 0.860 (multiplicity 4)

Its energy above the most stable polymorph in this dataset is 0 meV/atom. The formation energy comes out at -609 meV per atom. For the volume, the calculation gives 276.74 Å³/f.u. Its total energy is -87.71 eV per cell.


Entry 3:
Li2SiWN4 after structural relaxation, computed with PBE.

abc: 4.710 4.710 8.452
angles: 90.00 90.00 90.00
Space group I-4 (No. 82)
One atom of each set of equivalent atoms:
1 Li 0.000 0.000 0.000 (multiplicity 2)
2 Li 0.000 0.500 0.250 (multiplicity 2)
3 Si 0.000 0.000 0.500 (multiplicity 2)
4 W 0.000 0.500 0.750 (multiplicity 2)
5 N 0.188 0.764 0.621 (multiplicity 8)

The calculation puts the uncorrected formation energy at -0.80 eV/atom. For the volume, the calculation gives 93.73 Å³/f.u. Its total energy is -123.89 eV per cell.


Entry 4:
YRuBr after structural relaxation, computed with PBE.

abc: 6.789 6.789 6.789
angles: 90.00 90.00 90.00
Space group F-43m (No. 216)
One atom of each set of equivalent atoms:
1 Y 0.000 0.000 0.000 (multiplicity 4)
2 Ru 0.250 0.250 0.750 (multiplicity 4)
3 Br 0.250 0.250 0.250 (multiplicity 4)

Its energy above the most stable polymorph in this dataset is 1319 meV/atom. The calculation puts the uncorrected formation energy at 0.35 eV/atom. For the volume, the calculation gives 78.24 Å³/f.u. Its total energy is -65.45 eV per cell.


Entry 5:
Nb2InTc after structural relaxation, computed with PBE.

abc: 3.093 3.093 7.723
angles: 90.00 90.00 90.00
Space group P4/mmm (No. 123)
One atom of each set of equivalent atoms:
1 Nb 0.000 0.000 0.209 (multiplicity 2)
2 In 0.500 0.500 0.500 (multiplicity 1)
3 Tc 0.500 0.500 0.000 (multiplicity 1)

Its energy above the most stable polymorph in this dataset is 0 meV/atom. The formation energy comes out at -45 meV per atom. For the volume, the calculation gives 73.86 Å³/f.u. Its total energy is -33.42 eV per cell.


Entry 6:
RbNiW2Se8 after structural relaxation, computed with PBE.

abc: 6.3727 6.3727 29.8670
angles: 90.00 90.00 120.00
Space group R-3 (No. 148, hexagonal axes)
One atom of each set of equivalent atoms:
1 Rb 0.0000 0.0000 0.0000 (multiplicity 3)
2 Ni 0.0000 0.0000 0.5000 (multiplicity 3)
3 W 0.0000 0.0000 0.2405 (multiplicity 6)
4 Se 0.0000 0.0000 0.3182 (multiplicity 6)
5 Se 0.0111 0.6916 0.5495 (multiplicity 18)

The calculation puts the uncorrected formation energy at -0.28 eV/atom. For the volume, the calculation gives 350.15 Å³/f.u. Its total energy is -191.71 eV per cell.


Entry 7:
CoAg2WAu after structural relaxation, computed with PBE.

abc: 4.998 4.998 4.944
angles: 90.00 90.00 90.00
Space group P4/mmm (No. 123)
One atom of each set of equivalent atoms:
1 Co 0.000 0.000 0.000 (multiplicity 1)
2 Ag 0.000 0.500 0.500 (multiplicity 2)
3 W 0.500 0.500 0.000 (multiplicity 1)
4 Au 0.500 0.500 0.500 (multiplicity 1)

The formation energy comes out at 1994 meV per atom. For the volume, the calculation gives 123.53 Å³/f.u. Its total energy is -19.07 eV per cell.


Entry 8:
RbTl2Pb after structural relaxation, computed with PBE.

abc: 8.204 8.204 8.204
angles: 90.00 90.00 90.00
Space group Fm-3m (No. 225)
One atom of each set of equivalent atoms:
1 Rb 0.000 0.000 0.000 (multiplicity 4)
2 Tl 0.250 0.250 0.250 (multiplicity 8)
3 Pb 0.000 0.000 0.500 (multiplicity 4)

Its energy above the most stable polymorph in this dataset is 53 meV/atom. The formation energy comes out at -47 meV per atom. For the volume, the calculation gives 138.02 Å³/f.u. Its total energy is -38.39 eV per cell.


Entry 9:
Sm4AsIrI2 after structural relaxation, computed with PBE.

abc: 7.662 4.158 8.105
angles: 90.00 106.79 90.00
Space group P2/m (No. 10)
One atom of each set of equivalent atoms:
1 Sm 0.209 0.000 0.184 (multiplicity 2)
2 Sm 0.257 0.500 0.809 (multiplicity 2)
3 As 0.500 0.000 0.000 (multiplicity 1)
4 Ir 0.000 0.500 0.000 (multiplicity 1)
5 I 0.000 0.000 0.500 (multiplicity 1)
6 I 0.500 0.500 0.500 (multiplicity 1)

The calculation puts the uncorrected formation energy at -1.09 eV/atom. For the volume, the calculation gives 247.18 Å³/f.u. Its total energy is -44.20 eV per cell.


Entry 10:
NaSr2LiSe after structural relaxation, computed with PBE.

abc: 6.177 6.177 5.002
angles: 90.00 90.00 90.00
Space group P4/mmm (No. 123)
One atom of each set of equivalent atoms:
1 Na 0.000 0.000 0.000 (multiplicity 1)
2 Sr 0.000 0.500 0.500 (multiplicity 2)
3 Li 0.500 0.500 0.000 (multiplicity 1)
4 Se 0.500 0.500 0.500 (multiplicity 1)

The calculation puts the uncorrected formation energy at -0.66 eV/atom. For the volume, the calculation gives 190.83 Å³/f.u. Its total energy is -13.36 eV per cell.


Entry 11:
RbScAsO4F after structural relaxation, computed with PBE.

abc: 13.907 6.894 11.420
angles: 90.00 90.00 90.00
Space group Pna2_1 (No. 33)
One atom of each set of equivalent atoms:
1 Rb 0.107 0.200 0.000 (multiplicity 4)
2 Rb 0.124 0.773 0.741 (multiplicity 4)
3 Sc 0.112 0.494 0.438 (multiplicity 4)
4 Sc 0.246 0.751 0.187 (multiplicity 4)
5 As 0.001 0.324 0.690 (multiplicity 4)
6 As 0.182 0.998 0.441 (multiplicity 4)
7 O 0.010 0.533 0.313 (multiplicity 4)
8 O 0.016 0.486 0.577 (multiplicity 4)
9 O 0.099 0.816 0.168 (multiplicity 4)
10 O 0.103 0.186 0.709 (multiplicity 4)
11 O 0.111 0.800 0.472 (multiplicity 4)
12 O 0.112 0.197 0.413 (multiplicity 4)
13 O 0.243 0.452 0.824 (multiplicity 4)
14 O 0.244 0.534 0.060 (multiplicity 4)
15 F 0.224 0.539 0.316 (multiplicity 4)
16 F 0.225 0.466 0.565 (multiplicity 4)

The calculation puts the uncorrected formation energy at -2.44 eV/atom. For the volume, the calculation gives 136.86 Å³/f.u. Its total energy is -425.10 eV per cell.


Entry 12:
Ta2TlCN after structural relaxation, computed with PBE.

abc: 5.225 5.225 3.879
angles: 90.00 90.00 90.00
Space group P4/mmm (No. 123)
One atom of each set of equivalent atoms:
1 Ta 0.000 0.500 0.000 (multiplicity 2)
2 Tl 0.000 0.000 0.000 (multiplicity 1)
3 C 0.000 0.000 0.500 (multiplicity 1)
4 N 0.500 0.500 0.500 (multiplicity 1)

The calculation puts the uncorrected formation energy at 3.73 eV/atom. For the volume, the calculation gives 105.90 Å³/f.u. Its total energy is -24.99 eV per cell.


Entry 13:
Na8AlTe6 after structural relaxation, computed with PBE.

abc: 8.125 9.316 13.425
angles: 90.00 90.00 90.00
Space group Pmn2_1 (No. 31)
One atom of each set of equivalent atoms:
1 Na 0.000 0.109 0.000 (multiplicity 2)
2 Na 0.000 0.245 0.428 (multiplicity 2)
3 Na 0.208 0.569 0.784 (multiplicity 4)
4 Na 0.221 0.942 0.767 (multiplicity 4)
5 Na 0.224 0.724 0.109 (multiplicity 4)
6 Al 0.000 0.750 0.478 (multiplicity 2)
7 Te 0.000 0.258 0.205 (multiplicity 2)
8 Te 0.000 0.511 0.584 (multiplicity 2)
9 Te 0.000 0.778 0.927 (multiplicity 2)
10 Te 0.000 0.994 0.579 (multiplicity 2)
11 Te 0.241 0.747 0.343 (multiplicity 4)

The calculation puts the uncorrected formation energy at -0.74 eV/atom. For the volume, the calculation gives 508.09 Å³/f.u. Its total energy is -88.51 eV per cell.


Entry 14:
Pm3YHo5 after structural relaxation, computed with PBE.

abc: 18.188 6.346 11.520
angles: 90.00 111.72 90.00
Space group C2/c (No. 15)
One atom of each set of equivalent atoms:
1 Pm 0.000 0.000 0.000 (multiplicity 4)
2 Pm 0.172 0.182 0.375 (multiplicity 8)
3 Y 0.000 0.120 0.750 (multiplicity 4)
4 Ho 0.000 0.402 0.250 (multiplicity 4)
5 Ho 0.159 0.313 0.012 (multiplicity 8)
6 Ho 0.171 0.294 0.717 (multiplicity 8)

Its energy above the most stable polymorph in this dataset is 38 meV/atom. The formation energy comes out at 305 meV per atom. For the volume, the calculation gives 308.83 Å³/f.u. Its total energy is -163.43 eV per cell.


Entry 15:
Sr2TmCd12Hg3 after structural relaxation, computed with PBE.

abc: 10.2032 10.2032 19.3210
angles: 90.00 90.00 120.00
Space group R-3m (No. 166, hexagonal axes)
One atom of each set of equivalent atoms:
1 Sr 0.0000 0.0000 0.0976 (multiplicity 6)
2 Tm 0.0000 0.0000 0.5000 (multiplicity 3)
3 Cd 0.0132 0.5066 0.3071 (multiplicity 18)
4 Cd 0.0156 0.5078 0.8529 (multiplicity 18)
5 Hg 0.0000 0.5000 0.0000 (multiplicity 9)

The formation energy comes out at 97 meV per atom. For the volume, the calculation gives 580.65 Å³/f.u. Its total energy is -53.93 eV per cell.


Entry 16:
YReSeN2 after structural relaxation, computed with PBE.

abc: 4.198 4.198 5.856
angles: 90.00 90.00 90.00
Space group P4/mmm (No. 123)
One atom of each set of equivalent atoms:
1 Y 0.000 0.000 0.000 (multiplicity 1)
2 Re 0.500 0.500 0.500 (multiplicity 1)
3 Se 0.000 0.000 0.500 (multiplicity 1)
4 N 0.000 0.500 0.000 (multiplicity 2)

Its energy above the most stable polymorph in this dataset is 1880 meV/atom. The calculation puts the uncorrected formation energy at 1.58 eV/atom. For the volume, the calculation gives 103.20 Å³/f.u. Its total energy is -31.12 eV per cell.


Entry 17:
Ac2BeO4 after structural relaxation, computed with PBE.

abc: 3.957 3.957 16.258
angles: 90.00 90.00 90.00
Space group I4/mmm (No. 139)
One atom of each set of equivalent atoms:
1 Ac 0.000 0.000 0.164 (multiplicity 4)
2 Be 0.000 0.000 0.500 (multiplicity 2)
3 O 0.000 0.000 0.411 (multiplicity 4)
4 O 0.000 0.500 0.250 (multiplicity 4)

The calculation puts the uncorrected formation energy at -2.93 eV/atom. For the volume, the calculation gives 127.25 Å³/f.u. Its total energy is -104.58 eV per cell.


Entry 18:
GeSbSe2 after structural relaxation, computed with PBE.

abc: 6.516 6.516 12.778
angles: 90.00 90.00 90.00
Space group I-42d (No. 122)
One atom of each set of equivalent atoms:
1 Ge 0.000 0.000 0.000 (multiplicity 4)
2 Sb 0.000 0.000 0.500 (multiplicity 4)
3 Se 0.235 0.250 0.125 (multiplicity 8)

Its energy above the most stable polymorph in this dataset is 223 meV/atom. The calculation puts the uncorrected formation energy at 0.14 eV/atom. For the volume, the calculation gives 135.65 Å³/f.u. Its total energy is -60.52 eV per cell.


Entry 19:
Y2CrRu after structural relaxation, computed with PBE.

abc: 3.343 4.825 10.660
angles: 90.00 90.00 90.00
Space group Imm2 (No. 44)
One atom of each set of equivalent atoms:
1 Y 0.000 0.000 0.000 (multiplicity 2)
2 Y 0.000 0.500 0.214 (multiplicity 2)
3 Cr 0.000 0.000 0.419 (multiplicity 2)
4 Ru 0.000 0.500 0.743 (multiplicity 2)

The formation energy comes out at 70 meV per atom. For the volume, the calculation gives 85.96 Å³/f.u. Its total energy is -63.09 eV per cell.


no.,Fermi-level density of states (states/eV/atom)
1,0.27
2,0.69
3,0.00
4,0.69
5,0.93
6,0.48
7,1.58
8,0.53
9,0.60
10,0.76
11,0.00
12,0.98
13,0.79
14,1.50
15,0.53
16,0.83
17,0.00
18,0.48
19,0.97